# TmMgAgHg | Alexandria | PBE | relaxed
data_TmMgAgHg
_cell_length_a 7.015
_cell_length_b 7.015
_cell_length_c 7.015
_cell_angle_alpha 90.00
_cell_angle_beta 90.00
_cell_angle_gamma 90.00
_symmetry_space_group_name_H-M 'F -4 3 m'
_symmetry_Int_Tables_number 216
_symmetry_space_group_name_Hall 'F -4 2 3'
loop_
_atom_site_label
_atom_site_fract_x
_atom_site_fract_y
_atom_site_fract_z
Tm1 0.000 0.000 0.000
Mg1 0.000 0.000 0.500
Ag1 0.250 0.250 0.750
Hg1 0.250 0.250 0.250
# VASP energy = -2.6893 eV per atom
# volume = 21.6 Å³/atom
# M_tot = 0.00 μB per formula unit
# ΔE_f = -0.38 eV/atom


# VZnW3 | Alexandria | PBE | relaxed
data_VZnW3
_cell_length_a 4.543
_cell_length_b 4.543
_cell_length_c 4.543
_cell_angle_alpha 90.00
_cell_angle_beta 90.00
_cell_angle_gamma 90.00
_symmetry_space_group_name_H-M 'P m -3 m'
_symmetry_Int_Tables_number 221
_symmetry_space_group_name_Hall '-P 4 2 3'
loop_
_atom_site_label
_atom_site_fract_x
_atom_site_fract_y
_atom_site_fract_z
V1 0.000 0.000 0.000
Zn1 0.500 0.500 0.500
W1 0.000 0.000 0.500
# VASP energy = -8.1789 eV per atom
# volume = 18.8 Å³/atom
# M_tot = 0.00 μB per formula unit
# ΔE_f = 1.67 eV/atom
# E above lowest polymorph = 0.00 kJ/mol of atoms


# LiAc2BO5 | Alexandria | PBE | relaxed
data_LiAc2BO5
_cell_length_a 7.090
_cell_length_b 7.090
_cell_length_c 5.309
_cell_angle_alpha 90.00
_cell_angle_beta 90.00
_cell_angle_gamma 90.00
_symmetry_space_group_name_H-M 'P 4/m b m'
_symmetry_Int_Tables_number 127
_symmetry_space_group_name_Hall '-P 4 2ab'
loop_
_atom_site_label
_atom_site_fract_x
_atom_site_fract_y
_atom_site_fract_z
Li1 0.000 0.000 0.000
Ac1 0.184 0.316 0.500
B1 0.000 0.500 0.000
O1 0.000 0.000 0.500
O2 0.113 0.613 0.213
# VASP energy = -6.9624 eV per atom
# volume = 14.8 Å³/atom
# M_tot = 0.00 μB per formula unit
# raw formation energy = -2.340 eV/atom


# AgH2Pt | Alexandria | PBE | relaxed
data_AgH2Pt
_cell_length_a 4.343
_cell_length_b 4.343
_cell_length_c 9.039
_cell_angle_alpha 90.00
_cell_angle_beta 90.00
_cell_angle_gamma 90.00
_symmetry_space_group_name_H-M 'I -4 2 d'
_symmetry_Int_Tables_number 122
_symmetry_space_group_name_Hall 'I -4 2bw'
loop_
_atom_site_label
_atom_site_fract_x
_atom_site_fract_y
_atom_site_fract_z
Ag1 0.000 0.000 0.000
H1 0.185 0.250 0.625
Pt1 0.000 0.000 0.500
# VASP energy = -3.8114 eV per atom
# volume = 10.7 Å³/atom
# M_tot = 0.00 μB per formula unit
# E above lowest polymorph = 2.08 kJ/mol of atoms


# ScFeCoCu | Alexandria | PBE | relaxed
data_ScFeCoCu
_cell_length_a 6.057
_cell_length_b 6.057
_cell_length_c 6.057
_cell_angle_alpha 90.00
_cell_angle_beta 90.00
_cell_angle_gamma 90.00
_symmetry_space_group_name_H-M 'F -4 3 m'
_symmetry_Int_Tables_number 216
_symmetry_space_group_name_Hall 'F -4 2 3'
loop_
_atom_site_label
_atom_site_fract_x
_atom_site_fract_y
_atom_site_fract_z
Sc1 0.000 0.000 0.000
Fe1 0.000 0.000 0.500
Co1 0.250 0.250 0.250
Cu1 0.250 0.250 0.750
# VASP energy = -6.5521 eV per atom
# volume = 13.9 Å³/atom
# M_tot = 3.73 μB per formula unit
# ΔE_f = -0.05 eV/atom


# Sr3AlTl | Alexandria | PBE | relaxed
data_Sr3AlTl
_cell_length_a 6.255
_cell_length_b 6.255
_cell_length_c 6.255
_cell_angle_alpha 90.00
_cell_angle_beta 90.00
_cell_angle_gamma 90.00
_symmetry_space_group_name_H-M 'P m -3 m'
_symmetry_Int_Tables_number 221
_symmetry_space_group_name_Hall '-P 4 2 3'
loop_
_atom_site_label
_atom_site_fract_x
_atom_site_fract_y
_atom_site_fract_z
Sr1 0.000 0.000 0.500
Al1 0.000 0.000 0.000
Tl1 0.500 0.500 0.500
# VASP energy = -2.0969 eV per atom
# volume = 48.9 Å³/atom
# M_tot = 0.63 μB per formula unit
# ΔE_f = 0.13 eV/atom
# E above lowest polymorph = 32.49 kJ/mol of atoms


# Sr2ScGaHg | Alexandria | PBE | relaxed
data_Sr2ScGaHg
_cell_length_a 6.205
_cell_length_b 6.205
_cell_length_c 4.981
_cell_angle_alpha 90.00
_cell_angle_beta 90.00
_cell_angle_gamma 90.00
_symmetry_space_group_name_H-M 'P 4/m m m'
_symmetry_Int_Tables_number 123
_symmetry_space_group_name_Hall '-P 4 2'
loop_
_atom_site_label
_atom_site_fract_x
_atom_site_fract_y
_atom_site_fract_z
Sr1 0.000 0.500 0.000
Sc1 0.000 0.000 0.500
Ga1 0.500 0.500 0.500
Hg1 0.500 0.500 0.000
# VASP energy = -2.3248 eV per atom
# volume = 38.3 Å³/atom
# M_tot = 1.31 μB per formula unit
# ΔE_f = 0.28 eV/atom


# CdRe3Br | Alexandria | PBE | relaxed
data_CdRe3Br
_cell_length_a 4.590
_cell_length_b 4.590
_cell_length_c 4.590
_cell_angle_alpha 90.00
_cell_angle_beta 90.00
_cell_angle_gamma 90.00
_symmetry_space_group_name_H-M 'P m -3 m'
_symmetry_Int_Tables_number 221
_symmetry_space_group_name_Hall '-P 4 2 3'
loop_
_atom_site_label
_atom_site_fract_x
_atom_site_fract_y
_atom_site_fract_z
Cd1 0.000 0.000 0.000
Re1 0.000 0.500 0.500
Br1 0.500 0.500 0.500
# VASP energy = -5.7515 eV per atom
# volume = 19.3 Å³/atom
# M_tot = 1.75 μB per formula unit
# raw formation energy = 2.235 eV/atom
# E above lowest polymorph = 0.00 kJ/mol of atoms


# GdTlNiRh | Alexandria | PBE | relaxed
data_GdTlNiRh
_cell_length_a 6.700
_cell_length_b 6.700
_cell_length_c 6.700
_cell_angle_alpha 90.00
_cell_angle_beta 90.00
_cell_angle_gamma 90.00
_symmetry_space_group_name_H-M 'F -4 3 m'
_symmetry_Int_Tables_number 216
_symmetry_space_group_name_Hall 'F -4 2 3'
loop_
_atom_site_label
_atom_site_fract_x
_atom_site_fract_y
_atom_site_fract_z
Gd1 0.000 0.000 0.000
Tl1 0.000 0.000 0.500
Ni1 0.250 0.250 0.250
Rh1 0.250 0.250 0.750
# VASP energy = -7.6978 eV per atom
# volume = 18.8 Å³/atom
# M_tot = 7.05 μB per formula unit
# ΔE_f = -0.30 eV/atom


# Na2TaHgSe4 | Alexandria | PBE | relaxed
data_Na2TaHgSe4
_cell_length_a 6.484
_cell_length_b 6.484
_cell_length_c 12.571
_cell_angle_alpha 90.00
_cell_angle_beta 90.00
_cell_angle_gamma 90.00
_symmetry_space_group_name_H-M 'I -4'
_symmetry_Int_Tables_number 82
loop_
_symmetry_equiv_pos_as_xyz
'x,y,z'
'y,-x,-z'
'-x,-y,z'
'-y,x,-z'
'x+1/2,y+1/2,z+1/2'
'y+1/2,-x+1/2,-z+1/2'
'-x+1/2,-y+1/2,z+1/2'
'-y+1/2,x+1/2,-z+1/2'
loop_
_atom_site_label
_atom_site_fract_x
_atom_site_fract_y
_atom_site_fract_z
Na1 0.000 0.000 0.000
Na2 0.000 0.500 0.250
Ta1 0.000 0.500 0.750
Hg1 0.000 0.000 0.500
Se1 0.214 0.719 0.639
# VASP energy = -4.2876 eV per atom
# volume = 33.0 Å³/atom
# M_tot = 0.00 μB per formula unit
# raw formation energy = -0.696 eV/atom


# Ce3Al9Pd2 | Alexandria | PBE | relaxed
data_Ce3Al9Pd2
_cell_length_a 4.378
_cell_length_b 9.950
_cell_length_c 12.556
_cell_angle_alpha 90.00
_cell_angle_beta 90.00
_cell_angle_gamma 90.00
_symmetry_space_group_name_H-M 'I m m m'
_symmetry_Int_Tables_number 71
_symmetry_space_group_name_Hall '-I 2 2'
loop_
_atom_site_label
_atom_site_fract_x
_atom_site_fract_y
_atom_site_fract_z
Ce1 0.000 0.000 0.000
Ce2 0.000 0.000 0.308
Al1 0.000 0.280 0.127
Al2 0.000 0.366 0.339
Al3 0.000 0.500 0.000
Pd1 0.000 0.208 0.500
# VASP energy = -4.9835 eV per atom
# volume = 19.5 Å³/atom
# M_tot = 2.12 μB per formula unit
# ΔE_f = -0.56 eV/atom


# CoSiAsBr2 | Alexandria | PBE | relaxed
data_CoSiAsBr2
_cell_length_a 4.960
_cell_length_b 4.960
_cell_length_c 5.105
_cell_angle_alpha 90.00
_cell_angle_beta 90.00
_cell_angle_gamma 90.00
_symmetry_space_group_name_H-M 'P 4/m m m'
_symmetry_Int_Tables_number 123
_symmetry_space_group_name_Hall '-P 4 2'
loop_
_atom_site_label
_atom_site_fract_x
_atom_site_fract_y
_atom_site_fract_z
Co1 0.000 0.000 0.000
Si1 0.500 0.500 0.500
As1 0.500 0.500 0.000
Br1 0.000 0.500 0.500
# VASP energy = -3.2624 eV per atom
# volume = 25.1 Å³/atom
# M_tot = 2.59 μB per formula unit
# raw formation energy = 0.842 eV/atom
# E above lowest polymorph = 25.12 kJ/mol of atoms


# La3Tl2In3Rh | Alexandria | PBE | relaxed
data_La3Tl2In3Rh
_cell_length_a 7.7451
_cell_length_b 7.7451
_cell_length_c 4.7306
_cell_angle_alpha 90.00
_cell_angle_beta 90.00
_cell_angle_gamma 120.00
_symmetry_space_group_name_H-M 'P -6 2 m'
_symmetry_Int_Tables_number 189
_symmetry_space_group_name_Hall 'P -6 -2'
loop_
_atom_site_label
_atom_site_fract_x
_atom_site_fract_y
_atom_site_fract_z
La1 0.0000 0.3877 0.0000
Tl1 0.3333 0.6667 0.5000
In1 0.0000 0.7701 0.5000
Rh1 0.0000 0.0000 0.0000
# VASP energy = -4.4476 eV per atom
# volume = 27.3 Å³/atom
# M_tot = 0.00 μB per formula unit
# ΔE_f = -0.55 eV/atom